Here is a geometry-optimized CsU3Ag4Te12 structure from the Alexandria database. Energies are from GGA-PBE.

Output
theoretical density	5.8	g/cm³
formation energy without anion corrections	-0.24	eV/atom

The structure in CIF format:
```
data_CsU3Ag4Te12
_space_group_name_H-M_alt 'P 1'
_space_group_IT_number 1
_cell_length_a 10.1419
_cell_length_b 10.1419
_cell_length_c 10.1419
_cell_angle_alpha 109.31
_cell_angle_beta 109.31
_cell_angle_gamma 109.31
loop_
_space_group_symop_operation_xyz
'x,y,z'
loop_
_atom_site_label
_atom_site_fract_x
_atom_site_fract_y
_atom_site_fract_z
Ag1 0.5000 0.5000 0.5000
Ag2 0.5000 0.9327 0.0673
Ag3 0.9327 0.0673 0.5000
Ag4 0.0673 0.5000 0.9327
U1 0.4361 0.0000 0.5639
U2 0.5639 0.4361 0.0000
U3 0.0000 0.5639 0.4361
Te1 0.1003 0.8997 0.5000
Te2 0.2396 0.3408 0.9169
Te3 0.6592 0.7604 0.0831
Te4 0.7604 0.0831 0.6592
Te5 0.9169 0.2396 0.3408
Te6 0.3353 0.6647 0.5000
Te7 0.0831 0.6592 0.7604
Te8 0.5000 0.1003 0.8997
Te9 0.6647 0.5000 0.3353
Te10 0.3408 0.9169 0.2396
Te11 0.8997 0.5000 0.1003
Te12 0.5000 0.3353 0.6647
Cs1 0.0000 0.0000 0.0000
```


Here is a geometry-optimized Cs2UAg2Te4 structure from the Alexandria database. Energies are from GGA-PBE.

Output
theoretical density	6.2	g/cm³
formation energy without anion corrections	-0.72	eV/atom

The structure in CIF format:
```
data_Cs2UAg2Te4
_space_group_name_H-M_alt 'P 1'
_space_group_IT_number 1
_cell_length_a 4.5920
_cell_length_b 9.0310
_cell_length_c 8.6221
_cell_angle_alpha 107.61
_cell_angle_beta 105.44
_cell_angle_gamma 90.00
loop_
_space_group_symop_operation_xyz
'x,y,z'
loop_
_atom_site_label
_atom_site_fract_x
_atom_site_fract_y
_atom_site_fract_z
Ag1 0.6807 0.9837 0.3615
Ag2 0.3193 0.0163 0.6385
Te1 0.5125 0.7749 0.0250
Te2 0.4875 0.2251 0.9750
Te3 0.8090 0.8213 0.6181
Te4 0.1910 0.1787 0.3819
Cs1 0.8646 0.4276 0.7291
Cs2 0.1354 0.5724 0.2709
U1 0.0000 0.0000 0.0000
```


Here is a geometry-optimized CsUAgTe2 structure from the Alexandria database. Energies are from GGA-PBE.

Output
theoretical density	6.7	g/cm³
formation energy without anion corrections	-0.47	eV/atom

The structure in CIF format:
```
data_CsUAgTe2
_space_group_name_H-M_alt 'P 1'
_space_group_IT_number 1
_cell_length_a 6.6937
_cell_length_b 6.0716
_cell_length_c 9.4673
_cell_angle_alpha 108.70
_cell_angle_beta 90.00
_cell_angle_gamma 90.00
loop_
_space_group_symop_operation_xyz
'x,y,z'
loop_
_atom_site_label
_atom_site_fract_x
_atom_site_fract_y
_atom_site_fract_z
U1 0.5000 0.2500 0.0000
U2 0.5000 0.7500 0.0000
Cs1 0.2397 0.7500 0.5000
Cs2 0.7603 0.2500 0.5000
Te1 0.2541 0.1196 0.2392
Te2 0.7459 0.8804 0.7608
Te3 0.7459 0.6196 0.2392
Te4 0.2541 0.3804 0.7608
Ag1 0.0000 0.5000 0.0000
Ag2 0.0000 0.0000 0.0000
```


Here is a geometry-optimized CsU2Ag2Te6 structure from the Alexandria database. Energies are from GGA-PBE.

Output
theoretical density	6.2	g/cm³
formation energy without anion corrections	-0.47	eV/atom

The structure in CIF format:
```
data_CsU2Ag2Te6
_space_group_name_H-M_alt 'P 1'
_space_group_IT_number 1
_cell_length_a 8.1774
_cell_length_b 8.9099
_cell_length_c 9.0060
_cell_angle_alpha 124.53
_cell_angle_beta 92.04
_cell_angle_gamma 58.62
loop_
_space_group_symop_operation_xyz
'x,y,z'
loop_
_atom_site_label
_atom_site_fract_x
_atom_site_fract_y
_atom_site_fract_z
U1 0.1599 0.6733 0.1623
U2 0.8401 0.3267 0.8377
Te1 0.9778 0.5907 0.8478
Te2 0.8002 0.1873 0.4477
Te3 0.5983 0.2178 0.9534
Te4 0.4017 0.7822 0.0466
Te5 0.0222 0.4093 0.1522
Te6 0.1998 0.8127 0.5523
Ag1 0.8218 0.2548 0.1902
Ag2 0.1782 0.7452 0.8098
Cs1 0.5000 0.0000 0.5000
```


Here is a geometry-optimized CsU2AgTe4 structure from the Alexandria database. Energies are from GGA-PBE.

Output
theoretical density	7.2	g/cm³
formation energy without anion corrections	-0.61	eV/atom

The structure in CIF format:
```
data_CsU2AgTe4
_space_group_name_H-M_alt 'P 1'
_space_group_IT_number 1
_cell_length_a 4.5559
_cell_length_b 8.1352
_cell_length_c 15.9229
_cell_angle_alpha 90.00
_cell_angle_beta 90.00
_cell_angle_gamma 106.26
loop_
_space_group_symop_operation_xyz
'x,y,z'
loop_
_atom_site_label
_atom_site_fract_x
_atom_site_fract_y
_atom_site_fract_z
Cs1 0.8822 0.7644 0.2500
Cs2 0.1178 0.2356 0.7500
Te1 0.0000 0.0000 0.5000
Te2 0.2616 0.5233 0.3975
Te3 0.2616 0.5233 0.1025
Te4 0.5632 0.1263 0.2500
Te5 0.7384 0.4767 0.6025
Te6 0.4368 0.8737 0.7500
Te7 0.7384 0.4767 0.8975
Te8 0.0000 0.0000 0.0000
Ag1 0.1634 0.3268 0.2500
Ag2 0.8366 0.6732 0.7500
U1 0.6291 0.2581 0.4372
U2 0.6291 0.2581 0.0628
U3 0.3709 0.7419 0.5628
U4 0.3709 0.7419 0.9372
```


Here is a geometry-optimized Cs2YAg2Te4 structure from the Alexandria database. Energies are from GGA-PBE.

Output
theoretical density	5.5	g/cm³
formation energy without anion corrections	-0.87	eV/atom

The structure in CIF format:
```
data_Cs2YAg2Te4
_space_group_name_H-M_alt 'P 1'
_space_group_IT_number 1
_cell_length_a 4.4663
_cell_length_b 9.1683
_cell_length_c 8.6299
_cell_angle_alpha 107.17
_cell_angle_beta 105.00
_cell_angle_gamma 90.00
loop_
_space_group_symop_operation_xyz
'x,y,z'
loop_
_atom_site_label
_atom_site_fract_x
_atom_site_fract_y
_atom_site_fract_z
Cs1 0.1320 0.5641 0.2639
Cs2 0.8680 0.4359 0.7361
Ag1 0.6812 0.9806 0.3624
Ag2 0.3188 0.0194 0.6376
Te1 0.1934 0.1797 0.3868
Te2 0.4856 0.2263 0.9711
Te3 0.5144 0.7737 0.0289
Te4 0.8066 0.8203 0.6132
Y1 0.0000 0.0000 0.0000
```


Here is a geometry-optimized CsYAgTe3 structure from the Alexandria database. Energies are from GGA-PBE.

Output
theoretical density	5.3	g/cm³
formation energy without anion corrections	-0.94	eV/atom

The structure in CIF format:
```
data_CsYAgTe3
_space_group_name_H-M_alt 'P 1'
_space_group_IT_number 1
_cell_length_a 4.3508
_cell_length_b 9.2493
_cell_length_c 11.3960
_cell_angle_alpha 90.00
_cell_angle_beta 90.00
_cell_angle_gamma 103.60
loop_
_space_group_symop_operation_xyz
'x,y,z'
loop_
_atom_site_label
_atom_site_fract_x
_atom_site_fract_y
_atom_site_fract_z
Te1 0.3812 0.7625 0.9511
Te2 0.3812 0.7625 0.5489
Te3 0.6188 0.2375 0.4511
Te4 0.6188 0.2375 0.0489
Te5 0.9293 0.8587 0.2500
Te6 0.0707 0.1413 0.7500
Y1 0.0000 0.0000 0.0000
Y2 0.0000 0.0000 0.5000
Ag1 0.5306 0.0611 0.2500
Ag2 0.4694 0.9389 0.7500
Cs1 0.7527 0.5054 0.7500
Cs2 0.2473 0.4946 0.2500
```


Here is a geometry-optimized CsY3Ag2Te6 structure from the Alexandria database. Energies are from GGA-PBE.

Output
theoretical density	5.3	g/cm³
formation energy without anion corrections	-1.06	eV/atom

The structure in CIF format:
```
data_CsY3Ag2Te6
_space_group_name_H-M_alt 'P 1'
_space_group_IT_number 1
_cell_length_a 4.4921
_cell_length_b 9.5515
_cell_length_c 11.0009
_cell_angle_alpha 110.19
_cell_angle_beta 101.78
_cell_angle_gamma 90.00
loop_
_space_group_symop_operation_xyz
'x,y,z'
loop_
_atom_site_label
_atom_site_fract_x
_atom_site_fract_y
_atom_site_fract_z
Te1 0.6614 0.5834 0.3228
Te2 0.3386 0.4166 0.6772
Te3 0.6776 0.0651 0.3552
Te4 0.3224 0.9349 0.6448
Te5 0.9784 0.2753 0.9569
Te6 0.0216 0.7247 0.0431
Ag1 0.2571 0.6067 0.5141
Ag2 0.7429 0.3933 0.4859
Y1 0.1725 0.8364 0.3449
Y2 0.8275 0.1636 0.6551
Y3 0.5000 0.5000 0.0000
Cs1 0.5000 0.0000 0.0000
```


Here is a geometry-optimized Cs2Zr2AgTe6 structure from the Alexandria database. Energies are from GGA-PBE.

Output
theoretical density	5.2	g/cm³
formation energy without anion corrections	-0.76	eV/atom

The structure in CIF format:
```
data_Cs2Zr2AgTe6
_space_group_name_H-M_alt 'P 1'
_space_group_IT_number 1
_cell_length_a 7.3009
_cell_length_b 7.3009
_cell_length_c 9.4827
_cell_angle_alpha 97.13
_cell_angle_beta 97.13
_cell_angle_gamma 119.62
loop_
_space_group_symop_operation_xyz
'x,y,z'
loop_
_atom_site_label
_atom_site_fract_x
_atom_site_fract_y
_atom_site_fract_z
Te1 0.7056 0.7056 0.6851
Te2 0.2944 0.2944 0.3149
Te3 0.0618 0.4018 0.6820
Te4 0.4018 0.0618 0.6820
Te5 0.5982 0.9382 0.3180
Te6 0.9382 0.5982 0.3180
Zr1 0.3320 0.6680 0.5000
Zr2 0.6680 0.3320 0.5000
Cs1 0.8359 0.1641 0.0000
Cs2 0.1641 0.8359 0.0000
Ag1 0.0000 0.0000 0.5000
```


Here is a geometry-optimized Cs2ZrAg2Te4 structure from the Alexandria database. Energies are from GGA-PBE.

Output
theoretical density	5.2	g/cm³
energy relative to the lowest polymorph listed for this composition	0.0000	eV per atom
formation energy without anion corrections	-0.81	eV/atom

The structure in CIF format:
```
data_Cs2ZrAg2Te4
_space_group_name_H-M_alt 'P 1'
_space_group_IT_number 1
_cell_length_a 8.4273
_cell_length_b 8.4273
_cell_length_c 6.6590
_cell_angle_alpha 90.00
_cell_angle_beta 90.00
_cell_angle_gamma 133.40
loop_
_space_group_symop_operation_xyz
'x,y,z'
loop_
_atom_site_label
_atom_site_fract_x
_atom_site_fract_y
_atom_site_fract_z
Cs1 0.5000 0.0000 0.2580
Cs2 0.0000 0.5000 0.7420
Ag1 0.0000 0.0000 0.5000
Ag2 0.5000 0.5000 0.0000
Te1 0.6557 0.8647 0.7608
Te2 0.8647 0.6557 0.2392
Te3 0.1353 0.3443 0.2392
Te4 0.3443 0.1353 0.7608
Zr1 0.0000 0.0000 0.0000
```


Here is a geometry-optimized CsZrAgTe4 structure from the Alexandria database. Energies are from GGA-PBE.

Output
theoretical density	5.8	g/cm³
formation energy without anion corrections	-0.58	eV/atom

The structure in CIF format:
```
data_CsZrAgTe4
_space_group_name_H-M_alt 'P 1'
_space_group_IT_number 1
_cell_length_a 7.6302
_cell_length_b 6.1538
_cell_length_c 10.9776
_cell_angle_alpha 90.00
_cell_angle_beta 109.90
_cell_angle_gamma 90.00
loop_
_space_group_symop_operation_xyz
'x,y,z'
loop_
_atom_site_label
_atom_site_fract_x
_atom_site_fract_y
_atom_site_fract_z
Ag1 0.7192 0.2500 0.6869
Ag2 0.2808 0.7500 0.3131
Te1 0.0189 0.5126 0.6705
Te2 0.0189 0.9874 0.6705
Te3 0.5542 0.2500 0.4178
Te4 0.5006 0.2500 0.8323
Te5 0.9811 0.0126 0.3295
Te6 0.4994 0.7500 0.1677
Te7 0.9811 0.4874 0.3295
Te8 0.4458 0.7500 0.5822
Cs1 0.2112 0.2500 0.0500
Cs2 0.7888 0.7500 0.9500
Zr1 0.7220 0.7500 0.4415
Zr2 0.2780 0.2500 0.5585
```


Here is a geometry-optimized Cs2ZrAg2Te4 structure from the Alexandria database. Energies are from GGA-PBE.

Output
theoretical density	5.8	g/cm³
energy relative to the lowest polymorph listed for this composition	0.0693	eV per atom
formation energy without anion corrections	-0.74	eV/atom

The structure in CIF format:
```
data_Cs2ZrAg2Te4
_space_group_name_H-M_alt 'P 1'
_space_group_IT_number 1
_cell_length_a 4.4231
_cell_length_b 8.9942
_cell_length_c 8.5639
_cell_angle_alpha 107.99
_cell_angle_beta 104.97
_cell_angle_gamma 90.00
loop_
_space_group_symop_operation_xyz
'x,y,z'
loop_
_atom_site_label
_atom_site_fract_x
_atom_site_fract_y
_atom_site_fract_z
Ag1 0.3143 0.0198 0.6286
Ag2 0.6857 0.9802 0.3714
Te1 0.8150 0.8201 0.6300
Te2 0.5127 0.7833 0.0253
Te3 0.4873 0.2167 0.9747
Te4 0.1850 0.1799 0.3700
Cs1 0.8651 0.4260 0.7302
Cs2 0.1349 0.5740 0.2698
Zr1 0.0000 0.0000 0.0000
```


What did the twelfth record say?
Here is a geometry-optimized Cs2ZrAg2Te4 structure from the Alexandria database. Energies are from GGA-PBE.

Output
theoretical density	5.8	g/cm³
energy relative to the lowest polymorph listed for this composition	0.0693	eV per atom
formation energy without anion corrections	-0.74	eV/atom

The structure in CIF format:
```
data_Cs2ZrAg2Te4
_space_group_name_H-M_alt 'P 1'
_space_group_IT_number 1
_cell_length_a 4.4231
_cell_length_b 8.9942
_cell_length_c 8.5639
_cell_angle_alpha 107.99
_cell_angle_beta 104.97
_cell_angle_gamma 90.00
loop_
_space_group_symop_operation_xyz
'x,y,z'
loop_
_atom_site_label
_atom_site_fract_x
_atom_site_fract_y
_atom_site_fract_z
Ag1 0.3143 0.0198 0.6286
Ag2 0.6857 0.9802 0.3714
Te1 0.8150 0.8201 0.6300
Te2 0.5127 0.7833 0.0253
Te3 0.4873 0.2167 0.9747
Te4 0.1850 0.1799 0.3700
Cs1 0.8651 0.4260 0.7302
Cs2 0.1349 0.5740 0.2698
Zr1 0.0000 0.0000 0.0000
```


> Which value of theoretical density does entry 4 give?

6.2 g/cm³


> theoretical density of number 2 (Cs2UAg2Te4)?

6.2 g/cm³


> Which value of formation energy without anion corrections does entry 4 give?

-0.47 eV/atom